No. 1
First-principles (PBE-GGA) data for a relaxed NbZnCdW2 crystal, as listed in Alexandria.

a b c (Å): 4.772 4.772 5.325
angles (deg): 90.00 90.00 90.00
Space group P4/mmm (No. 123)
Symmetry-distinct sites (fractional):
Nb (0.000, 0.000, 0.000) x1
Zn (0.500, 0.500, 0.500) x1
Cd (0.000, 0.000, 0.500) x1
W (0.000, 0.500, 0.000) x2

Values from the calculation:
Its crystal system is tetragonal. Its theoretical density is 8.74 g/cm³. As for the total energy: -5.604 eV/atom. The density of states at the Fermi level is 1.091 states/eV per atom. The energy of formation is 10.14 eV per formula unit.

***

No. 2
First-principles (PBE-GGA) data for a relaxed PaAl2O6 crystal, as listed in Alexandria.

a b c (Å): 9.583 3.674 6.711
angles (deg): 90.00 118.21 90.00
Space group C2/m (No. 12)
Symmetry-distinct sites (fractional):
Pa (0.000, 0.000, 0.000) x2
Al (0.171, 0.000, 0.588) x4
O (0.022, 0.000, 0.697) x4
O (0.151, 0.500, 0.114) x4
O (0.210, 0.500, 0.588) x4

Values from the calculation:
Its raw formation energy is -26.5 eV/f.u. Its crystal system is monoclinic. Its theoretical density is 6.08 g/cm³. As for the total energy: -8.135 eV/atom. The density of states at the Fermi level is 0.637 states/eV per atom.

***

No. 3
First-principles (PBE-GGA) data for a relaxed As2OsBr crystal, as listed in Alexandria.

a b c (Å): 2.994 5.060 11.306
angles (deg): 90.00 90.00 90.00
Space group Cmmm (No. 65)
Symmetry-distinct sites (fractional):
As (0.000, 0.000, 0.181) x4
Os (0.000, 0.500, 0.000) x2
Br (0.000, 0.500, 0.500) x2

Values from the calculation:
The value obtained for the offset from the most stable computed form is 33.0 kJ per mole of atoms. Its raw formation energy is 1.7 eV/f.u. Its crystal system is orthorhombic. Its theoretical density is 8.14 g/cm³. As for the total energy: -5.138 eV/atom. The density of states at the Fermi level is 0.705 states/eV per atom.

***

No. 4
First-principles (PBE-GGA) data for a relaxed Ca2CeSi3Pt4 crystal, as listed in Alexandria.

a b c (Å): 4.310 4.310 10.752
angles (deg): 90.00 90.00 90.00
Space group P-4m2 (No. 115)
Symmetry-distinct sites (fractional):
Ca (0.000, 0.500, 0.225) x2
Ce (0.000, 0.000, 0.500) x1
Si (0.000, 0.500, 0.886) x2
Si (0.500, 0.500, 0.500) x1
Pt (0.000, 0.000, 0.000) x1
Pt (0.000, 0.500, 0.666) x2
Pt (0.500, 0.500, 0.000) x1

Values from the calculation:
Its raw formation energy is -9.1 eV/f.u. Its crystal system is tetragonal. Its theoretical density is 9.02 g/cm³. As for the total energy: -5.946 eV/atom. The density of states at the Fermi level is 0.798 states/eV per atom.

***

No. 5
First-principles (PBE-GGA) data for a relaxed Nd8Sm2Tm3 crystal, as listed in Alexandria.

a b c (Å): 7.720 5.700 10.998
angles (deg): 90.00 110.52 90.00
Space group P2/m (No. 10)
Symmetry-distinct sites (fractional):
Nd (0.100, 0.000, 0.292) x2
Nd (0.172, 0.500, 0.843) x2
Nd (0.307, 0.000, 0.708) x2
Nd (0.371, 0.500, 0.242) x2
Sm (0.261, 0.000, 0.021) x2
Tm (0.215, 0.500, 0.500) x2
Tm (0.500, 0.000, 0.500) x1

Values from the calculation:
The value obtained for the offset from the most stable computed form is 3.9 kJ per mole of atoms. Its crystal system is monoclinic. Its theoretical density is 7.19 g/cm³. As for the total energy: -4.493 eV/atom. The density of states at the Fermi level is 1.445 states/eV per atom. The energy of formation is 2.59 eV per formula unit.

***

No. 6
First-principles (PBE-GGA) data for a relaxed KBi2Te2 crystal, as listed in Alexandria.

a b c (Å): 9.272 9.272 4.151
angles (deg): 90.00 90.00 90.00
Space group P4/mbm (No. 127)
Symmetry-distinct sites (fractional):
K (0.000, 0.000, 0.000) x2
Bi (0.131, 0.369, 0.000) x4
Te (0.203, 0.703, 0.500) x4

Values from the calculation:
The value obtained for the offset from the most stable computed form is 6.4 kJ per mole of atoms. Its raw formation energy is -1.2 eV/f.u. Its crystal system is tetragonal. Its theoretical density is 6.63 g/cm³. As for the total energy: -3.267 eV/atom. The density of states at the Fermi level is 0.334 states/eV per atom.